Record 1
Entry from Alexandria via LeMat-Bulk: crystalline TiZnF4 at its relaxed geometry (GGA-PBE).

abc: 3.637 3.637 5.171
angles: 90.00 90.00 90.00
Site moments in Bohr magnetons follow the coordinates.
Positions (direct):
Zn1 0.000 0.000 0.500  0.03
F1 0.500 0.000 0.754  0.00
F2 0.000 0.500 0.246  0.00
F3 0.500 0.000 0.246  0.00
F4 0.000 0.500 0.754  0.00
Ti1 0.500 0.500 0.000  1.59

Output
Formation energy (no corrections) (eV per atom): -2.47
Crystal system: tetragonal
Symmetry: P4/mmm, No. 123

=====

Record 2
Entry from Alexandria via LeMat-Bulk: crystalline Ti3ZnF at its relaxed geometry (GGA-PBE).

abc: 4.179 4.179 4.179
angles: 90.00 90.00 90.00
Positions (direct):
Ti1 0.000 0.500 0.000
Zn1 0.500 0.500 0.500
Ti2 0.000 0.000 0.500
Ti3 0.500 0.000 0.000
F1 0.000 0.000 0.000

Output
Formation energy (no corrections) (eV per atom): -0.56
Crystal system: cubic
Symmetry: Pm-3m, No. 221

=====

Record 3
Entry from Alexandria via LeMat-Bulk: crystalline TiZnF5 at its relaxed geometry (GGA-PBE).

abc: 5.379 5.379 7.546
angles: 69.35 69.35 72.61
Site moments in Bohr magnetons follow the coordinates.
Positions (direct):
F1 0.871 0.129 0.750  0.00
Zn1 0.476 0.524 0.250  0.01
Ti1 0.000 0.000 0.500  0.90
F2 0.716 0.328 0.044  0.01
F3 0.328 0.716 0.544  0.01
F4 0.792 0.721 0.633  -0.01
F5 0.208 0.279 0.367  -0.01
F6 0.284 0.672 0.956  0.01
F7 0.721 0.792 0.133  -0.01
F8 0.279 0.208 0.867  -0.01
F9 0.672 0.284 0.456  0.01
F10 0.129 0.871 0.250  0.00
Zn2 0.524 0.476 0.750  0.01
Ti2 0.000 0.000 0.000  0.90

Output
Formation energy (no corrections) (eV per atom): -2.84
Crystal system: monoclinic
Symmetry: C2/c, No. 15

=====

Record 4
Entry from Alexandria via LeMat-Bulk: crystalline TiZn2F8 at its relaxed geometry (GGA-PBE).

abc: 4.337 5.741 5.741
angles: 73.31 92.09 92.09
Positions (direct):
F1 0.750 0.598 0.598
Zn1 0.267 0.622 0.622
F2 0.232 0.295 0.899
F3 0.232 0.899 0.295
F4 0.768 0.101 0.705
Ti1 0.000 0.000 0.000
F5 0.747 0.164 0.164
Zn2 0.733 0.378 0.378
F6 0.250 0.402 0.402
F7 0.253 0.836 0.836
F8 0.768 0.705 0.101

Output
Formation energy (no corrections) (eV per atom): -2.75
Crystal system: monoclinic
Symmetry: C2/m, No. 12

=====

Result set for electronic total energy: -31.5, -29.6, -76.8, -55.7 eV per cell, one per record in the order listed.
Result set for calculated density: 4595, 5186, 3691, 4014 kg/m³, one per record in the order listed.